# 1
# Be2ZnSe | Alexandria via LeMat-Bulk | GGA-PBE | optimized geometry
data_Be2ZnSe
_chemical_formula_sum 'Be4 Zn2 Se2'
_symmetry_space_group_name_H-M 'P 1'
_symmetry_Int_Tables_number 1
_cell_length_a 5.732
_cell_length_b 5.732
_cell_length_c 5.817
_cell_angle_alpha 60.49
_cell_angle_beta 60.49
_cell_angle_gamma 90.00
loop_
_symmetry_equiv_pos_as_xyz
'x,y,z'
loop_
_atom_site_label
_atom_site_fract_x
_atom_site_fract_y
_atom_site_fract_z
Be1 0.653 0.125 0.250
Be2 0.097 0.625 0.250
Be3 0.375 0.347 0.750
Be4 0.875 0.903 0.750
Zn1 0.500 0.500 0.000
Zn2 0.250 0.750 0.500
Se1 0.000 0.000 0.000
Se2 0.750 0.250 0.500
# E_form (uncorrected) (eV/f.u.): 0.8
# N(E_F) (states/eV/f.u.): 0.0
# Total magnetic moment (μB per cell): 0.00
# Energy (eV/cell): -22.8

***

# 2
# BaW2Cl | Alexandria via LeMat-Bulk | GGA-PBE | optimized geometry
data_BaW2Cl
_chemical_formula_sum 'Ba1 W2 Cl1'
_symmetry_space_group_name_H-M 'P 1'
_symmetry_Int_Tables_number 1
_cell_length_a 3.210
_cell_length_b 4.554
_cell_length_c 7.125
_cell_angle_alpha 90.00
_cell_angle_beta 90.00
_cell_angle_gamma 90.00
loop_
_symmetry_equiv_pos_as_xyz
'x,y,z'
loop_
_atom_site_label
_atom_site_fract_x
_atom_site_fract_y
_atom_site_fract_z
Ba1 0.500 0.000 0.500
W1 0.000 0.000 0.000
W2 0.500 0.500 0.000
Cl1 0.000 0.500 0.500
# E_form (uncorrected) (eV/f.u.): 2.8
# N(E_F) (states/eV/f.u.): 3.6
# Total magnetic moment (μB per cell): 0.38
# Energy (eV/cell): -26.9

***

# 3
# AcTmSbAu | Alexandria via LeMat-Bulk | GGA-PBE | optimized geometry
data_AcTmSbAu
_chemical_formula_sum 'Ac1 Tm1 Sb1 Au1'
_symmetry_space_group_name_H-M 'P 1'
_symmetry_Int_Tables_number 1
_cell_length_a 5.443
_cell_length_b 5.443
_cell_length_c 5.443
_cell_angle_alpha 60.00
_cell_angle_beta 60.00
_cell_angle_gamma 60.00
loop_
_symmetry_equiv_pos_as_xyz
'x,y,z'
loop_
_atom_site_label
_atom_site_fract_x
_atom_site_fract_y
_atom_site_fract_z
Sb1 0.000 0.000 0.000
Ac1 0.250 0.250 0.250
Tm1 0.750 0.750 0.750
Au1 0.500 0.500 0.500
# E_form (uncorrected) (eV/f.u.): -2.8
# N(E_F) (states/eV/f.u.): 4.7
# Total magnetic moment (μB per cell): 1.04
# Energy (eV/cell): -18.7

***

# 4
# K2In2Sb2As | Alexandria via LeMat-Bulk | GGA-PBE | optimized geometry
data_K2In2Sb2As
_chemical_formula_sum 'K2 In2 Sb2 As1'
_symmetry_space_group_name_H-M 'P 1'
_symmetry_Int_Tables_number 1
_cell_length_a 4.034
_cell_length_b 7.084
_cell_length_c 8.682
_cell_angle_alpha 73.98
_cell_angle_beta 90.00
_cell_angle_gamma 73.42
loop_
_symmetry_equiv_pos_as_xyz
'x,y,z'
loop_
_atom_site_label
_atom_site_fract_x
_atom_site_fract_y
_atom_site_fract_z
K1 0.499 0.002 0.706
K2 0.501 0.998 0.294
In1 0.796 0.408 0.887
In2 0.204 0.592 0.113
Sb1 0.788 0.424 0.407
Sb2 0.212 0.576 0.593
As1 0.000 0.000 0.000
# E_form (uncorrected) (eV/f.u.): -1.4
# N(E_F) (states/eV/f.u.): 2.8
# Total magnetic moment (μB per cell): 0.00
# Energy (eV/cell): -21.9

***

# 5
# As2WCl | Alexandria via LeMat-Bulk | GGA-PBE | optimized geometry
data_As2WCl
_chemical_formula_sum 'As4 W2 Cl2'
_symmetry_space_group_name_H-M 'P 1'
_symmetry_Int_Tables_number 1
_cell_length_a 6.333
_cell_length_b 6.333
_cell_length_c 7.126
_cell_angle_alpha 63.62
_cell_angle_beta 63.62
_cell_angle_gamma 90.00
loop_
_symmetry_equiv_pos_as_xyz
'x,y,z'
loop_
_atom_site_label
_atom_site_fract_x
_atom_site_fract_y
_atom_site_fract_z
As1 0.696 0.125 0.250
As2 0.054 0.625 0.250
As3 0.375 0.304 0.750
As4 0.875 0.946 0.750
W1 0.000 0.000 0.000
W2 0.750 0.250 0.500
Cl1 0.500 0.500 0.000
Cl2 0.250 0.750 0.500
# E_form (uncorrected) (eV/f.u.): 2.0
# N(E_F) (states/eV/f.u.): 2.7
# Total magnetic moment (μB per cell): 0.00
# Energy (eV/cell): -44.3

***

# 6
# LiPu2Tc | Alexandria via LeMat-Bulk | GGA-PBE | optimized geometry
data_LiPu2Tc
_chemical_formula_sum 'Li1 Pu2 Tc1'
_symmetry_space_group_name_H-M 'P 1'
_symmetry_Int_Tables_number 1
_cell_length_a 3.855
_cell_length_b 4.520
_cell_length_c 4.520
_cell_angle_alpha 90.00
_cell_angle_beta 90.00
_cell_angle_gamma 90.00
loop_
_symmetry_equiv_pos_as_xyz
'x,y,z'
loop_
_atom_site_label
_atom_site_fract_x
_atom_site_fract_y
_atom_site_fract_z
Li1 0.500 0.000 0.000
Tc1 0.500 0.500 0.500
Pu1 0.000 0.000 0.500
Pu2 0.000 0.500 0.000
# N(E_F) (states/eV/f.u.): 9.1
# Total magnetic moment (μB per cell): 10.00
# DFT formation energy (eV per atom): 0.22
# Energy (eV/cell): -40.1